# 1
Computed, not measured: a relaxed structure of NaOsCl2 at the GGA-PBEsol level of DFT.

space group = I-42d
distance to the lowest polymorph of the same formula = 287 meV/atom

POSCAR file:
```
NaOsCl2
1.0
-1.9029 -4.6566 -1.2038
3.7358 -2.2464 2.7842
-4.8162 3.6508 4.6032
Cl Os Na
4 2 2
Direct
0.3080 0.8750 0.2500
0.6250 0.6920 0.7500
0.1250 0.0580 0.7500
0.9420 0.3750 0.2500
0.2500 0.7500 0.5000
0.0000 0.0000 0.0000
0.7500 0.2500 0.5000
0.5000 0.5000 0.0000
```


# 2
Computed, not measured: a relaxed structure of CaZnSi2 at the GGA-PBEsol level of DFT.

space group = Pmmm

POSCAR file:
```
CaZnSi2
1.0
-2.2259 -1.8939 1.0135
2.8350 -2.4203 1.7036
-0.3605 3.1058 5.0123
Si Zn Ca
2 1 1
Direct
0.5000 0.0000 0.2805
0.5000 0.0000 0.7195
0.5000 0.5000 0.5000
0.0000 0.5000 0.0000
```


# 3
Computed, not measured: a relaxed structure of SrLaTlAs2O8 at the GGA-PBEsol level of DFT.

space group = P3_2

POSCAR file:
```
SrLaTlAs2O8
1.0
-3.4226 2.5128 6.0203
-3.1278 -5.2730 -4.0848
6.2229 -9.5052 7.5052
La O Sr As Tl
3 24 3 6 3
Direct
0.5066 0.5051 0.0833
0.4949 0.0014 0.7499
0.9986 0.4934 0.4166
0.8682 0.2865 0.2516
0.1305 0.4216 0.5816
0.2806 0.8559 0.4303
0.3019 0.4470 0.4066
0.5530 0.8549 0.0733
0.4340 0.3003 0.2494
0.7128 0.5669 0.4063
0.5625 0.8657 0.5853
0.8663 0.5660 0.5828
0.5753 0.7194 0.7636
0.8594 0.5557 0.0948
0.5784 0.7089 0.2482
0.1451 0.6981 0.7400
0.6997 0.1337 0.9161
0.2911 0.8695 0.9149
0.4443 0.3038 0.7615
0.8541 0.2872 0.7397
0.6962 0.1406 0.4281
0.3032 0.4375 0.9187
0.4183 0.1318 0.5850
0.1441 0.4247 0.0969
0.7135 0.5817 0.9183
0.1343 0.6968 0.2520
0.4331 0.1459 0.0730
0.5013 0.5028 0.5857
0.4972 0.9985 0.2524
0.0015 0.4987 0.9190
0.0017 0.4927 0.1723
0.5073 0.5090 0.8389
0.4942 0.0010 0.9960
0.4910 0.9983 0.5056
0.9990 0.4932 0.6626
0.5068 0.5058 0.3293
0.9888 0.9974 0.8502
0.0026 0.9914 0.5169
0.0086 0.0112 0.1836
```


# 4
Computed, not measured: a relaxed structure of ScFeSi2 at the GGA-PBEsol level of DFT.

space group = Imm2

POSCAR file:
```
ScFeSi2
1.0
-2.5428 0.0622 2.6884
2.5256 -1.2388 2.4175
1.0372 4.4112 -1.6685
Si Sc Fe
2 1 1
Direct
0.7492 0.2492 0.4985
0.0003 0.0003 0.0005
0.2503 0.7503 0.5005
0.5002 0.5002 0.0004
```


no.,E_form (uncorrected) (eV per atom)
1,0.1999
2,-0.0767
3,-2.0731
4,-0.3305